Computed, not measured: a geometry-optimized CaTaCr2 structure at the PBE level of DFT.

Total DFT energy (no corrections), eV/atom: -7.72
Crystal system: monoclinic
Formation enthalpy at 0 K, eV/atom: 0.55
Relative energy among the computed polymorphs, meV/atom: 61.6

Cell lengths 2.9213, 4.2306, 6.3578 Å; angles 90.00, 96.72, 90.00 degrees
Closest atoms and distances in Å follow each position.
Fractional positions:
Ca (0.0000, 0.0000, 0.0000)  2 Ca 2.92, 4 Cr 3.12
Ta (0.5000, 0.0000, 0.5000)  8 Cr 2.61-2.91
Cr (0.1366, 0.5000, 0.6529)  1 Cr 2.01
Cr (0.8634, 0.5000, 0.3471)  1 Cr 2.01

***

Computed, not measured: a geometry-optimized CaTaCr2 structure at the PBE level of DFT.

Total DFT energy (no corrections), eV/atom: -7.38
Crystal system: tetragonal
Formation enthalpy at 0 K, eV/atom: 0.90
Relative energy among the computed polymorphs, meV/atom: 405.4

Cell lengths 4.6486, 4.6486, 6.5535 Å; angles 90.00, 90.00, 90.00 degrees
Closest atoms and distances in Å follow each position.
Fractional positions:
Ca (0.0000, 0.0000, 0.0000)  4 Cr 2.84, 4 Ta 2.84
Ca (0.5000, 0.5000, 0.5000)  4 Cr 2.84, 4 Ta 2.84
Ta (0.0000, 0.5000, 0.7500)  4 Cr 2.84, 4 Ca 2.84
Ta (0.5000, 0.0000, 0.2500)  4 Cr 2.84, 4 Ca 2.84
Cr (0.0000, 0.0000, 0.5000)  4 Cr 2.84, 4 Ta 2.84
Cr (0.0000, 0.5000, 0.2500)  4 Cr 2.84, 4 Ca 2.84
Cr (0.5000, 0.0000, 0.7500)  4 Cr 2.84, 4 Ca 2.84
Cr (0.5000, 0.5000, 0.0000)  4 Cr 2.84, 4 Ta 2.84

***

Computed, not measured: a geometry-optimized Ca2TaCr2 structure at the PBE level of DFT.

Total DFT energy (no corrections), eV/atom: -5.93
Crystal system: tetragonal
Formation enthalpy at 0 K, eV/atom: 1.09
Relative energy among the computed polymorphs, meV/atom: 13.9

Cell lengths 8.2612, 8.2612, 3.1897 Å; angles 90.00, 90.00, 90.00 degrees
Closest atoms and distances in Å follow each position.
Fractional positions:
Ca (0.2081, 0.2919, 0.0000)  6 Cr 2.98-3.04, 2 Ca 3.19
Ca (0.2919, 0.7919, 0.0000)  6 Cr 2.98-3.04, 2 Ca 3.19
Ca (0.7081, 0.2081, 0.0000)  6 Cr 2.98-3.04, 2 Ca 3.19
Ca (0.7919, 0.7081, 0.0000)  6 Cr 2.98-3.04, 2 Ca 3.19
Ta (0.0000, 0.0000, 0.5000)  2 Ta 3.19, 8 Ca 3.36, 4 Cr 3.55
Ta (0.5000, 0.5000, 0.5000)  2 Ta 3.19, 8 Ca 3.36, 4 Cr 3.55
Cr (0.0767, 0.5767, 0.5000)  1 Cr 1.79
Cr (0.4233, 0.0767, 0.5000)  1 Cr 1.79
Cr (0.5767, 0.9233, 0.5000)  1 Cr 1.79
Cr (0.9233, 0.4233, 0.5000)  1 Cr 1.79